1.
Here is a geometry-optimized Pm2PrEr3 structure from Alexandria. Energies are from GGA-PBE.

Lattice parameters (Å, degrees): 6.6734 6.6734 9.0136 97.85 97.85 95.26
With the nearest neighbours (Å) after each atom.
Fractional coordinates of all 12 atoms:
Pm  0.1235  0.6302  0.8737  2 Pm 3.45-3.54, 9 Er 3.66-3.77, 3 Pr 3.70-3.76
Pm  0.3698  0.8765  0.6263  2 Pm 3.45-3.54, 9 Er 3.66-3.77, 3 Pr 3.70-3.76
Pm  0.6302  0.1235  0.3737  2 Pm 3.45-3.54, 9 Er 3.66-3.77, 3 Pr 3.70-3.76
Pm  0.8765  0.3698  0.1263  2 Pm 3.45-3.54, 9 Er 3.66-3.77, 3 Pr 3.70-3.76
Pr  0.4145  0.5855  0.2500  5 Er 3.29-3.50
Pr  0.5855  0.4145  0.7500  5 Er 3.29-3.50
Er  0.0810  0.9190  0.2500  4 Er 3.28-3.49, 1 Pr 3.29, 2 Pm 3.66
Er  0.1664  0.3341  0.5011  3 Er 3.28-3.49, 2 Pr 3.29-3.50
Er  0.3341  0.1664  0.0011  3 Er 3.28-3.49, 2 Pr 3.29-3.50
Er  0.6659  0.8336  0.9989  3 Er 3.28-3.49, 2 Pr 3.29-3.50
Er  0.8336  0.6659  0.4989  3 Er 3.28-3.49, 2 Pr 3.29-3.50
Er  0.9190  0.0810  0.7500  4 Er 3.28-3.49, 1 Pr 3.29, 2 Pm 3.66

Results
M_tot = 0.0 Bohr magnetons per cell
Relative energy among the computed polymorphs = 0.0000 eV/atom
Formation enthalpy at 0 K = 0.0683 eV/atom


2.
Here is a geometry-optimized Ni4C3 structure from Alexandria. Energies are from GGA-PBE.

Lattice parameters (Å, degrees): 8.5594 8.5594 8.5594 161.52 161.52 26.25
With the nearest neighbours (Å) after each atom.
Fractional coordinates of all 7 atoms:
Ni  0.0687  0.0687  0.0000  1 C 1.86
Ni  0.3031  0.3031  0.0000  5 C 1.96-2.04
Ni  0.6969  0.6969  0.0000  5 C 1.96-2.04
Ni  0.9313  0.9313  0.0000  1 C 1.86
C  0.1805  0.1805  0.0000  6 Ni 1.86-2.04
C  0.5000  0.5000  0.0000  8 Ni 2.26
C  0.8195  0.8195  0.0000  6 Ni 1.86-2.04

Results
M_tot = 0.0 Bohr magnetons per cell
Relative energy among the computed polymorphs = 0.1508 eV/atom
Formation enthalpy at 0 K = 0.8775 eV/atom


3.
Here is a geometry-optimized Tb3Dy2PuSe6 structure from Alexandria. Energies are from GGA-PBE.

Lattice parameters (Å, degrees): 9.1598 9.1598 8.2221 103.00 103.00 25.71
With the nearest neighbours (Å) after each atom.
Fractional coordinates of all 12 atoms:
Tb  0.0000  0.0000  0.0000  6 Se 2.88-2.93
Tb  0.3350  0.3350  0.6649  6 Se 2.87-2.92
Tb  0.6650  0.6650  0.3351  6 Se 2.87-2.92
Dy  0.3362  0.3362  0.1715  6 Se 2.84-2.92
Dy  0.6638  0.6638  0.8285  6 Se 2.84-2.92
Pu  0.0000  0.0000  0.5000  6 Se 2.91-2.93
Se  0.1684  0.1684  0.0822  3 Dy 2.90-2.92, 3 Tb 2.92-2.93
Se  0.1685  0.1685  0.5856  2 Dy 2.87, 3 Tb 2.89, 1 Pu 2.93
Se  0.4998  0.4998  0.2473  1 Dy 2.84, 3 Tb 2.87-2.88, 2 Pu 2.91
Se  0.5002  0.5002  0.7527  1 Dy 2.84, 3 Tb 2.87-2.88, 2 Pu 2.91
Se  0.8315  0.8315  0.4144  2 Dy 2.87, 3 Tb 2.89, 1 Pu 2.93
Se  0.8316  0.8316  0.9178  3 Dy 2.90-2.92, 3 Tb 2.92-2.93

Results
Formation energy without anion corrections = -1.7454 eV per atom
M_tot = 6.0 Bohr magnetons per cell


4.
Here is a geometry-optimized InBiBr structure from Alexandria. Energies are from GGA-PBE.

Lattice parameters (Å, degrees): 3.7159 7.1837 14.9423 90.00 90.00 90.00
With the nearest neighbours (Å) after each atom.
Fractional coordinates of all 12 atoms:
In  0.2491  0.2337  0.1193  2 Br 2.79, 1 Bi 3.03
In  0.2509  0.7663  0.6193  2 Br 2.79, 1 Bi 3.03
In  0.7491  0.2663  0.8807  2 Br 2.79, 1 Bi 3.03
In  0.7509  0.7337  0.3807  2 Br 2.79, 1 Bi 3.03
Bi  0.2484  0.5564  0.9886  3 In 3.03-3.23, 2 Bi 3.36
Bi  0.2516  0.4436  0.4886  3 In 3.03-3.23, 2 Bi 3.36
Bi  0.7484  0.9436  0.0114  3 In 3.03-3.23, 2 Bi 3.36
Bi  0.7516  0.0564  0.5114  3 In 3.03-3.23, 2 Bi 3.36
Br  0.2493  0.2076  0.7442  2 In 2.79
Br  0.2507  0.7924  0.2442  2 In 2.79
Br  0.7493  0.2924  0.2558  2 In 2.79
Br  0.7507  0.7076  0.7558  2 In 2.79

Results
Formation energy without anion corrections = -0.2743 eV per atom
M_tot = 0.0 Bohr magnetons per cell
Relative energy among the computed polymorphs = 0.0896 eV/atom


5.
Here is a geometry-optimized Sm4Er3Tm structure from Alexandria. Energies are from GGA-PBE.

Lattice parameters (Å, degrees): 11.3714 7.2747 6.2764 90.00 90.00 90.00
With the nearest neighbours (Å) after each atom.
Fractional coordinates of all 16 atoms:
Sm  0.0000  0.1274  0.0000  6 Sm 3.53-3.65, 4 Er 3.54-3.68, 2 Tm 3.62-3.64
Sm  0.0000  0.8724  0.5010  6 Sm 3.54-3.65, 4 Er 3.54-3.63, 2 Tm 3.59-3.68
Sm  0.2496  0.1280  0.3350  1 Tm 3.53, 6 Sm 3.53-3.65, 5 Er 3.54-3.68
Sm  0.2504  0.8720  0.8350  1 Tm 3.53, 6 Sm 3.53-3.65, 5 Er 3.54-3.68
Sm  0.5000  0.1276  0.0010  6 Sm 3.54-3.65, 4 Er 3.54-3.63, 2 Tm 3.59-3.68
Sm  0.5000  0.8726  0.5000  6 Sm 3.53-3.65, 4 Er 3.54-3.68, 2 Tm 3.62-3.64
Sm  0.7504  0.1280  0.3350  1 Tm 3.53, 6 Sm 3.53-3.65, 5 Er 3.54-3.68
Sm  0.7496  0.8720  0.8350  1 Tm 3.53, 6 Sm 3.53-3.65, 5 Er 3.54-3.68
Er  0.0000  0.6215  0.0013  4 Er 3.51-3.53, 6 Sm 3.54-3.68, 2 Tm 3.60
Er  0.2501  0.3783  0.8337  2 Tm 3.51-3.53, 4 Er 3.51-3.60, 6 Sm 3.54-3.68
Er  0.2499  0.6217  0.3337  2 Tm 3.51-3.53, 4 Er 3.51-3.60, 6 Sm 3.54-3.68
Er  0.5000  0.3785  0.5013  4 Er 3.51-3.53, 6 Sm 3.54-3.68, 2 Tm 3.60
Er  0.7499  0.3783  0.8337  2 Tm 3.51-3.53, 4 Er 3.51-3.60, 6 Sm 3.54-3.68
Er  0.7501  0.6217  0.3337  2 Tm 3.51-3.53, 4 Er 3.51-3.60, 6 Sm 3.54-3.68
Tm  0.0000  0.3785  0.5013  6 Er 3.51-3.60, 6 Sm 3.53-3.68
Tm  0.5000  0.6215  0.0013  6 Er 3.51-3.60, 6 Sm 3.53-3.68

Results
M_tot = 0.0 Bohr magnetons per cell
Relative energy among the computed polymorphs = 0.0000 eV/atom
Formation enthalpy at 0 K = 0.0204 eV/atom


6.
Here is a geometry-optimized B3SbMo structure from Alexandria. Energies are from GGA-PBE.

Lattice parameters (Å, degrees): 4.2382 4.2382 4.2382 90.00 90.00 90.00
With the nearest neighbours (Å) after each atom.
Fractional coordinates of all 5 atoms:
B  0.0000  0.0000  0.5000  2 Mo 2.12
B  0.0000  0.5000  0.0000  2 Mo 2.12
B  0.5000  0.0000  0.0000  2 Mo 2.12
Sb  0.5000  0.5000  0.5000  12 B 3.00
Mo  0.0000  0.0000  0.0000  6 B 2.12

Results
Formation energy without anion corrections = 1.3665 eV per atom
M_tot = 0.0 Bohr magnetons per cell
Relative energy among the computed polymorphs = 0.0000 eV/atom


7.
Here is a geometry-optimized AlPtO2 structure from Alexandria. Energies are from GGA-PBE.

Lattice parameters (Å, degrees): 2.8092 2.8092 6.2965 90.00 90.00 120.00
With the nearest neighbours (Å) after each atom.
Fractional coordinates of all 4 atoms:
Al  0.0000  0.0000  0.0000  6 O 1.96
Pt  0.3333  0.6667  0.5000  2 O 2.06
O  0.3333  0.6667  0.1735  3 Al 1.96, 1 Pt 2.06, 1 O 2.19
O  0.3333  0.6667  0.8265  3 Al 1.96, 1 Pt 2.06, 1 O 2.19

Results
Formation energy without anion corrections = -1.6829 eV per atom
M_tot = 0.0 Bohr magnetons per cell


8.
Here is a geometry-optimized HoThCuNi structure from Alexandria. Energies are from GGA-PBE.

Lattice parameters (Å, degrees): 4.2937 5.7447 5.7447 37.37 90.00 90.00
With the nearest neighbours (Å) after each atom.
Fractional coordinates of all 4 atoms:
Ho  0.0000  0.0000  0.0000  4 Cu 2.90, 3 Ni 3.03-3.04
Th  0.5000  0.7274  0.7274  4 Ni 2.88, 3 Cu 2.95-3.13
Cu  0.5000  0.4394  0.4394  2 Ni 2.77, 4 Ho 2.90, 2 Th 2.95
Ni  0.0000  0.2789  0.2789  2 Cu 2.77, 4 Th 2.88, 3 Ho 3.03-3.04

Results
M_tot = 0.0 Bohr magnetons per cell
Relative energy among the computed polymorphs = 0.0000 eV/atom
Formation enthalpy at 0 K = -0.3337 eV/atom